Entry 1:
The following is a DFT calculation (GGA-PBE) of a relaxed structure of Cs2BeSeBr6.

Output
* density of states at the Fermi level: 0.28 states/eV/atom
* uncorrected formation energy: -0.8732 eV per atom
* magnetic moment: 0.00 μB/cell

Cell: 7.6814 7.6814 7.9043 Å, 60.93 60.93 90.00°
With the nearest neighbours (Å) after each atom.
Fractional coordinates of all 10 atoms:
Cs  0.7500  0.2500  0.5000  12 Br 3.85-3.97
Cs  0.2500  0.7500  0.5000  12 Br 3.85-3.97
Be  0.5000  0.5000  0.0000  4 Br 2.32
Se  0.0000  0.0000  0.0000  2 Br 2.56
Br  0.2231  0.2231  0.5537  1 Se 2.56
Br  0.7769  0.7769  0.4463  1 Se 2.56
Br  0.2860  0.2860  0.0000  1 Be 2.32
Br  0.7140  0.7140  0.0000  1 Be 2.32
Br  0.7140  0.2860  0.0000  1 Be 2.32
Br  0.2860  0.7140  0.0000  1 Be 2.32

---

Entry 2:
The following is a DFT calculation (GGA-PBE) of a relaxed structure of CsBeSeBr2.

Output
* density of states at the Fermi level: 0.64 states/eV/atom
* uncorrected formation energy: -0.6896 eV per atom
* magnetic moment: 0.93 μB/cell

Cell: 5.6207 5.6207 4.4513 Å, 90.00 90.00 90.00°
With the nearest neighbours (Å) after each atom.
Fractional coordinates of all 5 atoms:
Cs  0.5000  0.5000  0.5000  8 Br 3.58, 4 Se 3.97
Be  0.0000  0.0000  0.0000  2 Se 2.23
Se  0.0000  0.0000  0.5000  2 Be 2.23
Br  0.0000  0.5000  0.0000  2 Be 2.81
Br  0.5000  0.0000  0.0000  2 Be 2.81

---

Entry 3:
The following is a DFT calculation (GGA-PBE) of a relaxed structure of CsSrBeBr5.

Output
* density of states at the Fermi level: 0.00 states/eV/atom
* uncorrected formation energy: -1.6074 eV per atom
* magnetic moment: 0.00 μB/cell

Cell: 8.1897 8.1897 10.6928 Å, 104.96 104.96 105.90°
With the nearest neighbours (Å) after each atom.
Fractional coordinates of all 16 atoms:
Cs  0.3545  0.6455  0.2500  5 Br 3.45-3.68
Cs  0.6455  0.3545  0.7500  5 Br 3.45-3.68
Sr  0.0000  0.0000  0.5000  6 Br 2.93-3.21
Sr  0.0000  0.0000  0.0000  6 Br 2.93-3.21
Be  0.6910  0.3090  0.2500  4 Br 2.22-2.23
Be  0.3090  0.6910  0.7500  4 Br 2.22-2.23
Br  0.0909  0.9091  0.2500  2 Sr 2.93
Br  0.9091  0.0909  0.7500  2 Sr 2.93
Br  0.8888  0.3189  0.1415  1 Be 2.22
Br  0.1112  0.6811  0.8585  1 Be 2.22
Br  0.6811  0.1112  0.3585  1 Be 2.22
Br  0.3189  0.8888  0.6415  1 Be 2.22
Br  0.7628  0.5781  0.4105  1 Be 2.23
Br  0.2372  0.4219  0.5895  1 Be 2.23
Br  0.4219  0.2372  0.0895  1 Be 2.23
Br  0.5781  0.7628  0.9105  1 Be 2.23

---

no.,E_tot (eV per formula unit)
1,-27.687
2,-14.858
3,-27.485